# Ag3Au, relaxed, DFT PBE-GGA
data_Ag3Au
_chemical_formula_sum 'Ag12 Au4'
_cell_length_a 4.985
_cell_length_b 9.564
_cell_length_c 6.024
_cell_angle_alpha 90.00
_cell_angle_beta 90.00
_cell_angle_gamma 90.00
_space_group_name_H-M_alt 'P n m a'
_space_group_IT_number 62
loop_
_space_group_symop_operation_xyz
'x,y,z'
'-x,-y,-z'
'-x+1/2,-y,z+1/2'
'x+1/2,y,-z+1/2'
'x+1/2,-y+1/2,-z+1/2'
'-x+1/2,y+1/2,z+1/2'
'-x,y+1/2,-z'
'x,-y+1/2,z'
loop_
_atom_site_label
_atom_site_type_symbol
_atom_site_fract_x
_atom_site_fract_y
_atom_site_fract_z
Ag1 Ag 0.093 0.250 0.126
Ag2 Ag 0.248 0.000 0.375
Au1 Au 0.096 0.250 0.623
# - Crystal system: orthorhombic
# - Total energy: -2.9690 eV per atom
# - Calculated volume: 18.0 Å³/atom
# - DOS(E_F): 0.352 states/eV per atom

=====

# Ag3Au, relaxed, DFT PBE-GGA
data_Ag3Au
_chemical_formula_sum 'Ag12 Au4'
_cell_length_a 6.609
_cell_length_b 6.609
_cell_length_c 6.609
_cell_angle_alpha 90.00
_cell_angle_beta 90.00
_cell_angle_gamma 90.00
_space_group_name_H-M_alt 'F m -3 m'
_space_group_IT_number 225
_space_group_name_Hall '-F 4 2 3'
loop_
_atom_site_label
_atom_site_type_symbol
_atom_site_fract_x
_atom_site_fract_y
_atom_site_fract_z
Ag1 Ag 0.000 0.000 0.000
Ag2 Ag 0.250 0.250 0.250
Au1 Au 0.000 0.000 0.500
# - Crystal system: cubic
# - Total energy: -2.9503 eV per atom
# - Calculated volume: 18.0 Å³/atom
# - DOS(E_F): 0.278 states/eV per atom

=====

# Ag3Au2, relaxed, DFT PBE-GGA
data_Ag3Au2
_chemical_formula_sum 'Ag12 Au8'
_cell_length_a 5.503
_cell_length_b 8.090
_cell_length_c 8.874
_cell_angle_alpha 90.00
_cell_angle_beta 90.00
_cell_angle_gamma 90.00
_space_group_name_H-M_alt 'C m c e'
_space_group_IT_number 64
_space_group_name_Hall '-C 2ac 2'
loop_
_atom_site_label
_atom_site_type_symbol
_atom_site_fract_x
_atom_site_fract_y
_atom_site_fract_z
Ag1 Ag 0.000 0.000 0.000
Ag2 Ag 0.250 0.125 0.250
Au1 Au 0.000 0.159 0.547
# - Crystal system: orthorhombic
# - Total energy: -2.9213 eV per atom
# - Calculated volume: 19.8 Å³/atom
# - Offset from the most stable computed form: 0.701 eV/f.u.
# - DOS(E_F): 0.243 states/eV per atom

=====

# Ag3Au, relaxed, DFT PBE-GGA
data_Ag3Au
_chemical_formula_sum 'Ag12 Au4'
_cell_length_a 5.893
_cell_length_b 10.203
_cell_length_c 4.794
_cell_angle_alpha 90.00
_cell_angle_beta 90.00
_cell_angle_gamma 90.00
_space_group_name_H-M_alt 'C m c m'
_space_group_IT_number 63
_space_group_name_Hall '-C 2c 2'
loop_
_atom_site_label
_atom_site_type_symbol
_atom_site_fract_x
_atom_site_fract_y
_atom_site_fract_z
Ag1 Ag 0.000 0.083 0.250
Ag2 Ag 0.250 0.167 0.750
Au1 Au 0.000 0.416 0.750
# - Crystal system: orthorhombic
# - Total energy: -2.9589 eV per atom
# - Calculated volume: 18.0 Å³/atom
# - DOS(E_F): 0.344 states/eV per atom

=====

| no. | total moment (μB per atom) |
| --- | --- |
| 1 | 0.0000 |
| 2 | 0.0000 |
| 3 | 0.0000 |
| 4 | 0.0000 |